Material: Sm3Np2Ru4
Method: DFT, PBE-GGA
State: relaxed

Cell lengths 4.2236, 5.9265, 8.9140 Å; angles 100.49, 90.00, 110.87 degrees
Atoms (fractional coordinates):
Sm (0.3752, 0.7503, 0.6142)
Sm (0.0000, 0.0000, 0.0000)
Sm (0.6248, 0.2497, 0.3858)
Np (0.3284, 0.6569, 0.2185)
Np (0.6716, 0.3431, 0.7815)
Ru (0.7212, 0.4425, 0.0935)
Ru (0.0888, 0.1777, 0.6377)
Ru (0.9112, 0.8223, 0.3623)
Ru (0.2788, 0.5575, 0.9065)

Summary:
Magnetic moment: 5.15 μB/f.u.
DFT total energy: -79.3 eV/f.u.
Energy relative to the elements: -0.24 eV/atom
Volume: 204.5 Å³ per cell

Material: Sm5NpRu4
Method: DFT, PBE-GGA
State: relaxed

Cell lengths 4.3194, 7.2215, 8.8963 Å; angles 109.83, 104.05, 90.00 degrees
Atoms (fractional coordinates):
Sm (0.1656, 0.0398, 0.3313)
Sm (0.1734, 0.5532, 0.3468)
Sm (0.8266, 0.4468, 0.6532)
Sm (0.5000, 0.5000, 0.0000)
Sm (0.8344, 0.9602, 0.6687)
Np (0.5000, 0.0000, 0.0000)
Ru (0.6398, 0.2750, 0.2797)
Ru (0.9877, 0.7894, 0.9753)
Ru (0.3602, 0.7250, 0.7203)
Ru (0.0123, 0.2106, 0.0247)

Summary:
Magnetic moment: 1.37 μB/f.u.
DFT total energy: -75.6 eV/f.u.
Energy relative to the elements: -0.20 eV/atom
Volume: 252.2 Å³ per cell

Material: Np2SnRu
Method: DFT, PBE-GGA
State: relaxed

Cell lengths 3.8432, 3.8432, 5.8384 Å; angles 90.00, 90.00, 90.00 degrees
Atoms (fractional coordinates):
Np (0.0000, 0.0000, 0.7759)
Np (0.0000, 0.0000, 0.2241)
Ru (0.5000, 0.5000, 0.0000)
Sn (0.5000, 0.5000, 0.5000)

Summary:
Magnetic moment: 7.17 μB/f.u.
DFT total energy: -39.0 eV/f.u.
Energy relative to the elements: 0.05 eV/atom
Polymorph energy (0 for the lowest one): 0.000 eV per atom
Volume: 86.2 Å³ per cell

Material: Np3SnRu4
Method: DFT, PBE-GGA
State: relaxed

Cell lengths 4.5662, 4.5662, 7.7975 Å; angles 107.01, 107.03, 90.00 degrees
Atoms (fractional coordinates):
Np (0.0000, 0.5000, 0.0000)
Np (0.7465, 0.2466, 0.4931)
Np (0.2535, 0.7534, 0.5069)
Ru (0.3790, 0.3792, 0.7580)
Ru (0.6210, 0.6208, 0.2420)
Ru (0.1210, 0.1205, 0.2420)
Ru (0.8790, 0.8795, 0.7580)
Sn (0.5000, 0.0000, 0.0000)

Summary:
Magnetic moment: 9.34 μB/f.u.
DFT total energy: -80.4 eV/f.u.
Energy relative to the elements: -0.06 eV/atom
Volume: 148.0 Å³ per cell

Material: NpSnRu
Method: DFT, PBE-GGA
State: relaxed

Cell lengths 4.6236, 4.6236, 4.6236 Å; angles 60.00, 60.00, 60.00 degrees
Atoms (fractional coordinates):
Np (0.0000, 0.0000, 0.0000)
Ru (0.2500, 0.2500, 0.2500)
Sn (0.5000, 0.5000, 0.5000)

Summary:
Magnetic moment: 3.88 μB/f.u.
DFT total energy: -26.1 eV/f.u.
Energy relative to the elements: 0.03 eV/atom
Volume: 69.9 Å³ per cell

Material: NpSnRu2
Method: DFT, PBE-GGA
State: relaxed

Cell lengths 3.2165, 3.2165, 6.9421 Å; angles 90.00, 90.00, 90.00 degrees
Atoms (fractional coordinates):
Np (0.5000, 0.5000, 0.5000)
Ru (0.0000, 0.0000, 0.7649)
Ru (0.0000, 0.0000, 0.2351)
Sn (0.5000, 0.5000, 0.0000)

Summary:
Magnetic moment: 2.80 μB/f.u.
DFT total energy: -35.6 eV/f.u.
Energy relative to the elements: -0.02 eV/atom
Volume: 71.8 Å³ per cell

Material: NpSnRu2
Method: DFT, PBE-GGA
State: relaxed

Cell lengths 3.5817, 4.4895, 4.4895 Å; angles 90.00, 90.00, 90.00 degrees
Atoms (fractional coordinates):
Np (0.5000, 0.5000, 0.5000)
Ru (0.0000, 0.0000, 0.5000)
Ru (0.0000, 0.5000, 0.0000)
Sn (0.5000, 0.0000, 0.0000)

Summary:
Magnetic moment: 2.86 μB/f.u.
DFT total energy: -36.0 eV/f.u.
Energy relative to the elements: -0.13 eV/atom
Volume: 72.2 Å³ per cell

Material: NpSnRu
Method: DFT, PBE-GGA
State: relaxed

Cell lengths 4.4310, 4.4313, 9.6850 Å; angles 117.24, 90.00, 120.00 degrees
Atoms (fractional coordinates):
Np (0.3706, 0.7412, 0.0559)
Np (0.6294, 0.2588, 0.9441)
Sn (0.8839, 0.7678, 0.3258)
Sn (0.1161, 0.2322, 0.6742)
Ru (0.8928, 0.7856, 0.8389)
Ru (0.1072, 0.2144, 0.1611)

Summary:
Magnetic moment: 1.73 μB/f.u.
DFT total energy: -26.2 eV/f.u.
Energy relative to the elements: 0.02 eV/atom
Volume: 139.8 Å³ per cell